1.
AlCoBr2: relaxed, GGA-PBEsol.

Computed properties:
space-group type	Immm (71)
raw formation energy	-173	meV/atom
excess energy over the best structure of this formula in the dataset	0.00	eV per formula unit
density	4.9	Mg/m³
DFT total energy	-4.0653	eV per atom

abc: 3.334 3.700 7.244
angles: 104.80 103.30 90.00
Positions (direct):
Co (0.500, 0.000, 0.000)
Al (0.000, 0.500, 0.000)
Br (0.858, 0.858, 0.717)
Br (0.142, 0.142, 0.283)


2.
AlCo2Br2: relaxed, GGA-PBEsol.

Computed properties:
space-group type	I4/mmm (139)
raw formation energy	423	meV/atom
density	5.4	Mg/m³
DFT total energy	-4.2378	eV per atom

abc: 3.383 3.383 8.548
angles: 101.41 101.41 90.00
Positions (direct):
Co (0.250, 0.750, 0.500)
Co (0.750, 0.250, 0.500)
Al (0.000, 0.000, 0.000)
Br (0.365, 0.365, 0.731)
Br (0.635, 0.635, 0.269)


3.
AlCoBr2: relaxed, GGA-PBEsol.

Computed properties:
space-group type	Cmm2 (35)
raw formation energy	-2	meV/atom
excess energy over the best structure of this formula in the dataset	0.69	eV per formula unit
density	4.6	Mg/m³
DFT total energy	-3.8938	eV per atom

abc: 3.267 3.461 8.865
angles: 90.00 90.00 118.17
Positions (direct):
Co (0.000, 0.000, 0.516)
Al (0.500, 0.000, 0.722)
Br (0.000, 0.000, 0.937)
Br (0.500, 0.000, 0.325)


4.
AlCoBr2: relaxed, GGA-PBEsol.

Computed properties:
space-group type	R-3m (166)
raw formation energy	346	meV/atom
excess energy over the best structure of this formula in the dataset	2.08	eV per formula unit
density	4.5	Mg/m³
DFT total energy	-3.5457	eV per atom

abc: 3.432 3.432 9.062
angles: 79.09 79.09 60.00
Positions (direct):
Co (0.000, 0.000, 0.000)
Al (0.500, 0.500, 0.500)
Br (0.915, 0.915, 0.254)
Br (0.085, 0.085, 0.746)


5.
AlCoBr3: relaxed, GGA-PBEsol.

Computed properties:
space-group type	Pm-3m (221)
raw formation energy	-45	meV/atom
density	4.7	Mg/m³
DFT total energy	-3.5331	eV per atom

abc: 4.866 4.866 4.866
angles: 90.00 90.00 90.00
Positions (direct):
Co (0.000, 0.000, 0.000)
Al (0.500, 0.500, 0.500)
Br (0.000, 0.500, 0.000)
Br (0.000, 0.000, 0.500)
Br (0.500, 0.000, 0.000)


6.
AlCoBr: relaxed, GGA-PBEsol.

Computed properties:
space-group type	P-6m2 (187)
raw formation energy	370	meV/atom
density	6.0	Mg/m³
DFT total energy	-4.1958	eV per atom

abc: 3.103 4.146 4.146
angles: 120.00 90.00 90.00
Positions (direct):
Co (0.500, 0.667, 0.333)
Al (0.000, 0.000, 0.000)
Br (0.500, 0.333, 0.667)


7.
AlCoBr2: relaxed, GGA-PBEsol.

Computed properties:
space-group type	I-42d (122)
raw formation energy	-20	meV/atom
excess energy over the best structure of this formula in the dataset	0.61	eV per formula unit
density	4.6	Mg/m³
DFT total energy	-3.9123	eV per atom

abc: 4.642 6.603 6.603
angles: 82.90 69.42 69.42
Positions (direct):
Co (0.750, 0.500, 0.500)
Co (0.000, 0.000, 0.000)
Al (0.250, 0.500, 0.500)
Al (0.500, 0.000, 0.000)
Br (0.973, 0.152, 0.652)
Br (0.777, 0.848, 0.348)
Br (0.375, 0.652, 0.848)
Br (0.875, 0.348, 0.152)


8.
AlCrBr: relaxed, GGA-PBEsol.

Computed properties:
space-group type	I4mm (107)
raw formation energy	311	meV/atom
excess energy over the best structure of this formula in the dataset	0.00	eV per formula unit
density	4.7	Mg/m³
DFT total energy	-5.0905	eV per atom

abc: 3.175 3.175 6.001
angles: 105.34 105.34 90.00
Positions (direct):
Cr (0.344, 0.344, 0.687)
Al (0.967, 0.967, 0.934)
Br (0.690, 0.690, 0.379)


9.
AlCrBr: relaxed, GGA-PBEsol.

Computed properties:
space-group type	F-43m (216)
raw formation energy	654	meV/atom
excess energy over the best structure of this formula in the dataset	1.03	eV per formula unit
density	4.2	Mg/m³
DFT total energy	-4.7467	eV per atom

abc: 4.469 4.469 4.469
angles: 60.00 60.00 60.00
Positions (direct):
Cr (0.250, 0.250, 0.250)
Al (0.000, 0.000, 0.000)
Br (0.500, 0.500, 0.500)


10.
AlCrBr4: relaxed, GGA-PBEsol.

Computed properties:
space-group type	F-43m (216)
raw formation energy	770	meV/atom
density	4.0	Mg/m³
DFT total energy	-2.8653	eV per atom

abc: 6.175 6.175 6.175
angles: 60.00 60.00 60.00
Positions (direct):
Cr (0.750, 0.750, 0.750)
Al (0.000, 0.000, 0.000)
Br (0.375, 0.375, 0.375)
Br (0.375, 0.375, 0.874)
Br (0.874, 0.375, 0.375)
Br (0.375, 0.874, 0.375)


11.
Al2CrBr: relaxed, GGA-PBEsol.

Computed properties:
space-group type	I-42d (122)
raw formation energy	557	meV/atom
excess energy over the best structure of this formula in the dataset	0.65	eV per formula unit
density	3.9	Mg/m³
DFT total energy	-4.5172	eV per atom

abc: 5.427 6.070 6.070
angles: 78.47 63.44 63.44
Positions (direct):
Cr (0.500, 0.000, 0.000)
Cr (0.250, 0.500, 0.500)
Al (0.604, 0.021, 0.521)
Al (0.146, 0.979, 0.479)
Al (0.375, 0.479, 0.021)
Al (0.875, 0.521, 0.979)
Br (0.000, 0.000, 0.000)
Br (0.750, 0.500, 0.500)


12.
Al2CrBr: relaxed, GGA-PBEsol.

Computed properties:
space-group type	Fm-3m (225)
raw formation energy	751	meV/atom
excess energy over the best structure of this formula in the dataset	1.43	eV per formula unit
density	3.9	Mg/m³
DFT total energy	-4.3227	eV per atom

abc: 4.828 4.828 4.828
angles: 60.00 60.00 60.00
Positions (direct):
Cr (0.000, 0.000, 0.000)
Al (0.250, 0.250, 0.250)
Al (0.750, 0.750, 0.750)
Br (0.500, 0.500, 0.500)


13.
Al2CrBr: relaxed, GGA-PBEsol.

Computed properties:
space-group type	P2/m (10)
raw formation energy	394	meV/atom
excess energy over the best structure of this formula in the dataset	0.00	eV per formula unit
density	4.1	Mg/m³
DFT total energy	-4.6797	eV per atom

abc: 3.175 4.368 5.417
angles: 90.00 90.00 89.91
Positions (direct):
Cr (0.500, 0.000, 0.500)
Al (0.256, 0.242, 0.000)
Al (0.744, 0.758, 0.000)
Br (0.000, 0.500, 0.500)


14.
AlCrBr2: relaxed, GGA-PBEsol.

Computed properties:
space-group type	C2/m (12)
raw formation energy	-38	meV/atom
density	4.2	Mg/m³
DFT total energy	-4.5567	eV per atom

abc: 3.308 4.118 7.354
angles: 106.20 103.00 90.00
Positions (direct):
Cr (0.000, 0.500, 0.000)
Al (0.500, 0.000, 0.000)
Br (0.645, 0.644, 0.290)
Br (0.355, 0.356, 0.710)


15.
CsAlBr4: relaxed, GGA-PBEsol.

Computed properties:
space-group type	Pnma (62)
raw formation energy	-1406	meV/atom
density	3.6	Mg/m³
DFT total energy	-3.4917	eV per atom

abc: 7.384 9.920 12.191
angles: 90.00 90.00 90.00
Positions (direct):
Al (0.750, 0.301, 0.566)
Al (0.250, 0.801, 0.934)
Al (0.250, 0.699, 0.434)
Al (0.750, 0.199, 0.066)
Br (0.750, 0.391, 0.392)
Br (0.250, 0.891, 0.108)
Br (0.250, 0.609, 0.608)
Br (0.750, 0.109, 0.892)
Br (0.750, 0.461, 0.703)
Br (0.250, 0.961, 0.797)
Br (0.250, 0.539, 0.297)
Br (0.750, 0.039, 0.203)
Br (0.003, 0.164, 0.588)
Br (0.997, 0.664, 0.912)
Br (0.503, 0.836, 0.412)
Br (0.497, 0.336, 0.088)
Br (0.997, 0.836, 0.412)
Br (0.003, 0.336, 0.088)
Br (0.497, 0.164, 0.588)
Br (0.503, 0.664, 0.912)
Cs (0.750, 0.839, 0.681)
Cs (0.250, 0.339, 0.819)
Cs (0.250, 0.161, 0.319)
Cs (0.750, 0.661, 0.181)


16.
Cs2RbAlBr6: relaxed, GGA-PBEsol.

Computed properties:
space-group type	Fm-3m (225)
raw formation energy	-1510	meV/atom
density	3.9	Mg/m³
DFT total energy	-3.3317	eV per atom

abc: 8.013 8.013 8.013
angles: 60.00 60.00 60.00
Positions (direct):
Cs (0.250, 0.250, 0.250)
Cs (0.750, 0.750, 0.750)
Rb (0.500, 0.500, 0.500)
Br (0.220, 0.780, 0.220)
Br (0.220, 0.220, 0.780)
Br (0.780, 0.780, 0.220)
Br (0.780, 0.220, 0.220)
Br (0.220, 0.780, 0.780)
Br (0.780, 0.220, 0.780)
Al (0.000, 0.000, 0.000)


17.
CsScAl2Br: relaxed, GGA-PBEsol.

Computed properties:
space-group type	P4/mmm (123)
raw formation energy	711	meV/atom
density	3.0	Mg/m³
DFT total energy	-2.8092	eV per atom

abc: 5.334 5.334 6.006
angles: 90.00 90.00 90.00
Positions (direct):
Cs (0.000, 0.000, 0.500)
Sc (0.500, 0.500, 0.500)
Al (0.000, 0.500, 0.000)
Al (0.500, 0.000, 0.000)
Br (0.000, 0.000, 0.000)


18.
Al2CuBr: relaxed, GGA-PBEsol.

Computed properties:
space-group type	P4/mmm (123)
raw formation energy	245	meV/atom
excess energy over the best structure of this formula in the dataset	0.00	eV per formula unit
density	4.6	Mg/m³
DFT total energy	-3.3517	eV per atom

abc: 2.974 4.889 4.889
angles: 90.00 90.00 90.00
Positions (direct):
Cu (0.500, 0.000, 0.000)
Br (0.500, 0.500, 0.500)
Al (0.000, 0.000, 0.500)
Al (0.000, 0.500, 0.000)


19.
AlCu3Br: relaxed, GGA-PBEsol.

Computed properties:
space-group type	Pm-3m (221)
raw formation energy	816	meV/atom
density	5.2	Mg/m³
DFT total energy	-2.9766	eV per atom

abc: 4.576 4.576 4.576
angles: 90.00 90.00 90.00
Positions (direct):
Cu (0.000, 0.500, 0.000)
Cu (0.000, 0.000, 0.500)
Cu (0.500, 0.000, 0.000)
Br (0.500, 0.500, 0.500)
Al (0.000, 0.000, 0.000)


20.
Al2CuBr: relaxed, GGA-PBEsol.

Computed properties:
space-group type	Fm-3m (225)
raw formation energy	434	meV/atom
excess energy over the best structure of this formula in the dataset	0.76	eV per formula unit
density	4.3	Mg/m³
DFT total energy	-3.1624	eV per atom

abc: 4.747 4.747 4.747
angles: 60.00 60.00 60.00
Positions (direct):
Cu (0.500, 0.500, 0.500)
Br (0.000, 0.000, 0.000)
Al (0.250, 0.250, 0.250)
Al (0.750, 0.750, 0.750)